# 1
The following is a GGA-PBE calculation of crystalline K2InTc at its relaxed geometry, from the Alexandria database.

Total energy   -3.24 eV/atom

```
data_K2InTc
_space_group_name_H-M_alt 'P 1'
_space_group_IT_number 1
_cell_length_a 3.766
_cell_length_b 3.766
_cell_length_c 10.258
_cell_angle_alpha 90.00
_cell_angle_beta 90.00
_cell_angle_gamma 90.00
loop_
_space_group_symop_operation_xyz
'x,y,z'
loop_
_atom_site_label
_atom_site_fract_x
_atom_site_fract_y
_atom_site_fract_z
In1 0.500 0.500 0.650
K1 0.000 0.000 0.923
K2 0.500 0.500 0.328
Tc1 0.000 0.000 0.599
```

# 2
The following is a GGA-PBE calculation of crystalline K2InTc at its relaxed geometry, from the Alexandria database.

Total energy   -2.89 eV/atom

```
data_K2InTc
_space_group_name_H-M_alt 'P 1'
_space_group_IT_number 1
_cell_length_a 2.955
_cell_length_b 2.955
_cell_length_c 11.918
_cell_angle_alpha 90.00
_cell_angle_beta 90.00
_cell_angle_gamma 90.00
loop_
_space_group_symop_operation_xyz
'x,y,z'
loop_
_atom_site_label
_atom_site_fract_x
_atom_site_fract_y
_atom_site_fract_z
In1 0.500 0.500 0.750
K1 0.000 0.000 0.019
K2 0.000 0.000 0.481
Tc1 0.500 0.500 0.250
```

# 3
The following is a GGA-PBE calculation of crystalline K2InTc at its relaxed geometry, from the Alexandria database.

Total energy   -2.88 eV/atom

```
data_K2InTc
_space_group_name_H-M_alt 'P 1'
_space_group_IT_number 1
_cell_length_a 6.746
_cell_length_b 6.746
_cell_length_c 3.074
_cell_angle_alpha 78.74
_cell_angle_beta 78.74
_cell_angle_gamma 127.87
loop_
_space_group_symop_operation_xyz
'x,y,z'
loop_
_atom_site_label
_atom_site_fract_x
_atom_site_fract_y
_atom_site_fract_z
In1 0.000 0.500 0.500
K1 0.000 0.000 0.000
K2 0.500 0.500 0.000
Tc1 0.500 0.000 0.500
```

The calculation returns the following ΔH_f (0 K) values, one per record and in order: 583; 938; 946 meV/atom.